Model 1:
A relaxed structure of TaAgAsO, computed with PBE.

Cell lengths 3.369, 6.907, 6.113 Å; angles 90.00, 90.00, 90.00 degrees
Positions (direct):
Ag 0.000 0.953 0.027
Ag 0.000 0.047 0.527
O 0.500 0.327 0.299
O 0.500 0.673 0.799
As 0.000 0.286 0.852
As 0.000 0.714 0.352
Ta 0.500 0.538 0.077
Ta 0.500 0.462 0.577



Model 2:
A relaxed structure of TaAgAsO, computed with PBE.

Cell lengths 3.929, 6.777, 5.238 Å; angles 90.00, 90.00, 90.00 degrees
Positions (direct):
Ag 0.000 0.464 0.031
Ag 0.000 0.536 0.531
Ta 0.500 0.858 0.906
Ta 0.500 0.142 0.406
As 0.500 0.763 0.402
As 0.500 0.237 0.902
O 0.000 0.158 0.414
O 0.000 0.842 0.914



In order of decreasing stability: model 1, model 2.



Model 1:
A relaxed structure of TaAgAsO, computed with PBE.

Cell lengths 4.268, 4.268, 7.780 Å; angles 90.00, 90.00, 90.00 degrees
Positions (direct):
Ta 0.500 0.500 0.500
Ta 0.000 0.000 0.500
O 0.000 0.000 0.000
O 0.500 0.500 0.000
Ag 0.000 0.500 0.066
Ag 0.500 0.000 0.934
As 0.500 0.000 0.312
As 0.000 0.500 0.688



Model 2:
A relaxed structure of TaAgAsO, computed with PBE.

Cell lengths 3.641, 3.641, 9.214 Å; angles 90.00, 90.00, 90.00 degrees
Positions (direct):
As 0.500 0.000 0.265
As 0.000 0.500 0.735
Ta 0.500 0.000 0.870
Ta 0.000 0.500 0.130
Ag 0.000 0.000 0.500
Ag 0.500 0.500 0.500
O 0.500 0.500 0.000
O 0.000 0.000 0.000



In order of decreasing stability: model 2, model 1.



Model 1:
A relaxed structure of AgTeAsO, computed with PBE.

Cell lengths 3.778, 6.728, 7.103 Å; angles 90.00, 90.00, 90.00 degrees
Positions (direct):
O 0.500 0.957 0.598
O 0.500 0.043 0.098
Te 0.000 0.636 0.240
Te 0.000 0.364 0.740
As 0.500 0.802 0.010
As 0.500 0.198 0.510
Ag 0.000 0.755 0.643
Ag 0.000 0.245 0.143



Model 2:
A relaxed structure of AgTeAsO, computed with PBE.

Cell lengths 4.372, 6.179, 6.069 Å; angles 90.00, 90.00, 90.00 degrees
Positions (direct):
As 0.500 0.185 0.878
As 0.500 0.815 0.378
Te 0.500 0.239 0.443
Te 0.500 0.761 0.943
Ag 0.000 0.333 0.018
Ag 0.000 0.667 0.518
O 0.000 0.292 0.415
O 0.000 0.708 0.915



Model 3:
A relaxed structure of AgTeAsO, computed with PBE.

Cell lengths 6.217, 7.168, 7.829 Å; angles 90.00, 90.00, 100.32 degrees
Positions (direct):
O 0.895 0.402 0.387
O 0.105 0.598 0.613
O 0.395 0.402 0.113
O 0.605 0.598 0.887
Ag 0.485 0.000 0.206
Ag 0.015 0.000 0.706
Ag 0.515 0.000 0.794
Ag 0.985 0.000 0.294
As 0.694 0.519 0.096
As 0.806 0.481 0.596
As 0.306 0.481 0.904
As 0.194 0.519 0.404
Te 0.149 0.801 0.000
Te 0.851 0.199 0.000
Te 0.649 0.801 0.500
Te 0.351 0.199 0.500



In order of decreasing stability: model 3, model 1, model 2.



Model 1:
A relaxed structure of AgTeAsO, computed with PBE.

Cell lengths 3.703, 6.605, 7.050 Å; angles 90.00, 90.00, 90.00 degrees
Positions (direct):
Te 0.500 0.893 0.052
Te 0.500 0.107 0.552
Ag 0.000 0.701 0.518
Ag 0.000 0.299 0.018
As 0.000 0.667 0.878
As 0.000 0.333 0.378
O 0.500 0.219 0.806
O 0.500 0.781 0.306



Model 2:
A relaxed structure of AgTeAsO, computed with PBE.

Cell lengths 3.875, 3.875, 9.762 Å; angles 90.00, 90.00, 90.00 degrees
Positions (direct):
Ag 0.250 0.750 0.500
Ag 0.750 0.250 0.500
Te 0.750 0.750 0.277
Te 0.250 0.250 0.723
O 0.250 0.750 0.000
O 0.750 0.250 0.000
As 0.250 0.250 0.108
As 0.750 0.750 0.892



Model 3:
A relaxed structure of AgTeAsO, computed with PBE.

Cell lengths 3.848, 3.848, 9.468 Å; angles 90.00, 90.00, 90.00 degrees
Positions (direct):
As 0.750 0.750 0.283
As 0.250 0.250 0.717
Ag 0.250 0.750 0.500
Ag 0.750 0.250 0.500
O 0.750 0.250 0.000
O 0.250 0.750 0.000
Te 0.750 0.750 0.860
Te 0.250 0.250 0.140



Model 4:
A relaxed structure of AgTeAsO, computed with PBE.

Cell lengths 4.593, 4.593, 7.359 Å; angles 90.00, 90.00, 90.00 degrees
Positions (direct):
Te 0.750 0.250 0.500
Te 0.250 0.750 0.500
O 0.250 0.750 0.000
O 0.750 0.250 0.000
As 0.250 0.250 0.732
As 0.750 0.750 0.268
Ag 0.750 0.750 0.917
Ag 0.250 0.250 0.083



In order of decreasing stability: model 2, model 1, model 3, model 4.



Model 1:
A relaxed structure of TlAgAsO, computed with PBE.

Cell lengths 4.411, 6.969, 5.234 Å; angles 90.00, 90.00, 90.00 degrees
Positions (direct):
As 0.000 0.561 0.928
As 0.000 0.439 0.428
O 0.500 0.887 0.399
O 0.500 0.113 0.899
Tl 0.500 0.204 0.462
Tl 0.500 0.796 0.962
Ag 0.000 0.828 0.466
Ag 0.000 0.172 0.966



Model 2:
A relaxed structure of TlAgAsO, computed with PBE.

Cell lengths 4.101, 4.101, 9.174 Å; angles 90.00, 90.00, 90.00 degrees
Positions (direct):
Ag 0.250 0.750 0.500
Ag 0.750 0.250 0.500
O 0.750 0.250 0.000
O 0.250 0.750 0.000
As 0.250 0.250 0.686
As 0.750 0.750 0.314
Tl 0.750 0.750 0.880
Tl 0.250 0.250 0.120



Model 3:
A relaxed structure of TlAgAsO, computed with PBE.

Cell lengths 4.427, 4.427, 8.867 Å; angles 90.00, 90.00, 90.00 degrees
Positions (direct):
Tl 0.000 0.000 0.500
Tl 0.500 0.500 0.500
As 0.500 0.000 0.295
As 0.000 0.500 0.705
O 0.500 0.500 0.000
O 0.000 0.000 0.000
Ag 0.000 0.500 0.032
Ag 0.500 0.000 0.968



In order of decreasing stability: model 1, model 2, model 3.



Model 1:
A relaxed structure of PmAgAs, computed with PBE.

Cell lengths 4.865, 4.865, 4.865 Å; angles 60.00, 60.00, 60.00 degrees
Positions (direct):
As 0.750 0.750 0.750
Ag 0.250 0.250 0.250
Pm 0.000 0.000 0.000



Model 2:
A relaxed structure of PmAgAs, computed with PBE.

Cell lengths 4.705, 4.705, 4.705 Å; angles 60.00, 60.00, 60.00 degrees
Positions (direct):
Ag 0.000 0.000 0.000
Pm 0.750 0.750 0.750
As 0.250 0.250 0.250



In order of decreasing stability: model 2, model 1.



Model 1:
A relaxed structure of RbAgAs, computed with PBE.

Cell lengths 5.054, 5.054, 5.054 Å; angles 60.00, 60.00, 60.00 degrees
Positions (direct):
Ag 0.000 0.000 0.000
As 0.250 0.250 0.250
Rb 0.750 0.750 0.750



Model 2:
A relaxed structure of RbAgAs, computed with PBE.

Cell lengths 5.337, 5.337, 5.337 Å; angles 60.00, 60.00, 60.00 degrees
Positions (direct):
Ag 0.250 0.250 0.250
As 0.750 0.750 0.750
Rb 0.000 0.000 0.000



In order of decreasing stability: model 1, model 2.



Model 1:
A relaxed structure of AgSbAs, computed with PBE.

Cell lengths 4.178, 4.178, 7.674 Å; angles 90.00, 90.00, 90.00 degrees
Positions (direct):
As 0.750 0.750 0.705
As 0.250 0.250 0.295
Sb 0.250 0.250 0.685
Sb 0.750 0.750 0.315
Ag 0.750 0.250 0.000
Ag 0.250 0.750 0.000



Model 2:
A relaxed structure of AgSbAs, computed with PBE.

Cell lengths 4.787, 4.787, 4.787 Å; angles 60.00, 60.00, 60.00 degrees
Positions (direct):
Sb 0.250 0.250 0.250
Ag 0.000 0.000 0.000
As 0.500 0.500 0.500



In order of decreasing stability: model 1, model 2.